No. 1
{
  "formula": "MgAg3Ge",
  "functional": "PBE",
  "state": "optimized geometry",
  "ef_mev_per_atom": 322,
  "sg": "No. 221",
  "relative_energy_mev_per_atom": 0,
  "mass_density_g_cm3": 5.9,
  "lattice": [[4.899, 0.000, 0.000], [0.000, 4.899, 0.000], [0.000, 0.000, 4.899]],
  "species": ["Ge", "Mg", "Ag", "Ag", "Ag"],
  "fractional_positions": [[0.000, 0.000, 0.000], [0.500, 0.500, 0.500], [0.000, 0.500, 0.000], [0.000, 0.000, 0.500], [0.500, 0.000, 0.000]]
}


No. 2
{
  "formula": "SrLiNiSn2",
  "functional": "PBE",
  "state": "optimized geometry",
  "ef_mev_per_atom": -317,
  "sg": "No. 123",
  "relative_energy_mev_per_atom": 86,
  "mass_density_g_cm3": 5.3,
  "lattice": [[-0.609, -0.114, 4.949], [-4.763, -1.345, -0.617], [1.333, -4.745, 0.054]],
  "species": ["Sr", "Li", "Sn", "Sn", "Ni"],
  "fractional_positions": [[0.500, 0.500, 0.500], [0.000, 0.000, 0.500], [0.000, 0.500, 0.000], [0.500, 0.000, 0.000], [0.000, 0.000, 0.000]]
}


No. 3
{
  "formula": "Ca2NdNi2",
  "functional": "PBE",
  "state": "optimized geometry",
  "ef_mev_per_atom": -119,
  "sg": "No. 15",
  "mass_density_g_cm3": 4.5,
  "lattice": [[-0.300, -1.720, -5.597], [-2.630, -4.785, 4.685], [-4.373, 5.776, -1.541]],
  "species": ["Ca", "Ca", "Ca", "Ca", "Nd", "Nd", "Ni", "Ni", "Ni", "Ni"],
  "fractional_positions": [[0.218, 0.587, 0.203], [0.369, 0.587, 0.703], [0.631, 0.413, 0.297], [0.782, 0.413, 0.797], [0.869, 0.000, 0.250], [0.131, 0.000, 0.750], [0.305, 0.920, 0.064], [0.615, 0.921, 0.564], [0.695, 0.080, 0.936], [0.385, 0.079, 0.436]]
}


No. 4
{
  "formula": "TmIn2Cu",
  "functional": "PBE",
  "state": "optimized geometry",
  "ef_mev_per_atom": -341,
  "sg": "No. 139",
  "mass_density_g_cm3": 9.0,
  "lattice": [[4.583, 0.000, 0.000], [0.000, 4.583, 0.000], [-2.291, -2.291, 8.125]],
  "species": ["Tm", "Tm", "In", "In", "In", "In", "Cu", "Cu"],
  "fractional_positions": [[0.139, 0.139, 0.277], [0.861, 0.861, 0.723], [0.000, 0.500, 0.000], [0.500, 0.000, 0.000], [0.346, 0.346, 0.693], [0.654, 0.654, 0.307], [0.250, 0.750, 0.500], [0.750, 0.250, 0.500]]
}


No. 5
{
  "formula": "LiY2VN",
  "functional": "PBE",
  "state": "optimized geometry",
  "sg": "No. 123",
  "formation_energy_uncorrected_ev_per_atom": -0.539,
  "mass_density_g_cm3": 4.3,
  "lattice": [[-4.226, 1.736, -2.035], [-0.724, -4.405, -2.254], [-1.991, -1.245, 3.073]],
  "species": ["Y", "Y", "N", "Li", "V"],
  "fractional_positions": [[0.000, 0.500, 0.000], [0.500, 0.000, 0.000], [0.000, 0.000, 0.000], [0.500, 0.500, 0.500], [0.000, 0.000, 0.500]]
}


No. 6
{
  "formula": "DyTmTl",
  "functional": "PBE",
  "state": "optimized geometry",
  "ef_mev_per_atom": -129,
  "sg": "No. 156",
  "relative_energy_mev_per_atom": 121,
  "mass_density_g_cm3": 10.3,
  "lattice": [[3.669, 0.000, 0.000], [0.000, 5.225, 0.000], [0.000, -2.613, 4.525]],
  "species": ["Tl", "Tm", "Dy"],
  "fractional_positions": [[0.738, 0.667, 0.333], [0.896, 0.000, 0.000], [0.366, 0.333, 0.667]]
}


No. 7
{
  "formula": "BaGa2AgIr",
  "functional": "PBE",
  "state": "optimized geometry",
  "ef_mev_per_atom": -389,
  "sg": "No. 123",
  "mass_density_g_cm3": 7.7,
  "lattice": [[4.805, 0.000, 0.000], [0.000, 4.805, 0.000], [0.000, 0.000, 5.420]],
  "species": ["Ga", "Ga", "Ir", "Ba", "Ag"],
  "fractional_positions": [[0.000, 0.500, 0.000], [0.500, 0.000, 0.000], [0.000, 0.000, 0.000], [0.500, 0.500, 0.500], [0.000, 0.000, 0.500]]
}


No. 8
{
  "formula": "Ba2Cu2Sb",
  "functional": "PBE",
  "state": "optimized geometry",
  "sg": "No. 139",
  "formation_energy_uncorrected_ev_per_atom": -0.181,
  "relative_energy_mev_per_atom": 126,
  "mass_density_g_cm3": 5.9,
  "lattice": [[3.845, 0.000, 0.000], [0.000, 3.845, 0.000], [1.923, 1.923, 9.973]],
  "species": ["Sb", "Ba", "Ba", "Cu", "Cu"],
  "fractional_positions": [[0.000, 0.000, 0.000], [0.385, 0.385, 0.230], [0.615, 0.615, 0.770], [0.750, 0.250, 0.500], [0.250, 0.750, 0.500]]
}


Question: What is the formula in the third record?
Answer: Ca2NdNi2


Please write out number 1 again, unchanged.
{
  "formula": "MgAg3Ge",
  "functional": "PBE",
  "state": "optimized geometry",
  "ef_mev_per_atom": 322,
  "sg": "No. 221",
  "relative_energy_mev_per_atom": 0,
  "mass_density_g_cm3": 5.9,
  "lattice": [[4.899, 0.000, 0.000], [0.000, 4.899, 0.000], [0.000, 0.000, 4.899]],
  "species": ["Ge", "Mg", "Ag", "Ag", "Ag"],
  "fractional_positions": [[0.000, 0.000, 0.000], [0.500, 0.500, 0.500], [0.000, 0.500, 0.000], [0.000, 0.000, 0.500], [0.500, 0.000, 0.000]]
}